No. 1
AcInGaAg after structural relaxation, computed with PBE.

Cell: 7.4204 7.4204 7.4204 Å, 90.00 90.00 90.00°
With the nearest neighbours (Å) after each atom.
Space group F-43m (No. 216)
Inequivalent atoms, fractional coordinates:
Ac  0.0000  0.0000  0.0000 (multiplicity 4)  4 Ag 3.21, 4 Ga 3.21
In  0.0000  0.0000  0.5000 (multiplicity 4)  4 Ga 3.21, 4 Ag 3.21
Ga  0.2500  0.2500  0.7500 (multiplicity 4)  4 Ac 3.21, 4 In 3.21
Ag  0.2500  0.2500  0.2500 (multiplicity 4)  4 Ac 3.21, 4 In 3.21

**Spin magnetization**: 0.000 μB/atom
**Energy of formation from the pure elements**: -0.331 eV/atom
**Crystal system**: cubic

No. 2
AcInGa2Ag after structural relaxation, computed with PBE.

Cell: 4.5459 4.5459 11.3637 Å, 90.00 90.00 90.00°
With the nearest neighbours (Å) after each atom.
Space group I-4m2 (No. 119)
Inequivalent atoms, fractional coordinates:
Ac  0.0000  0.0000  0.0000 (multiplicity 2)  8 Ga 3.45, 4 In 3.64, 4 Ag 3.64
In  0.0000  0.5000  0.2500 (multiplicity 2)  4 Ga 2.77
Ga  0.0000  0.0000  0.3889 (multiplicity 4)  1 Ga 2.52, 2 In 2.77, 2 Ag 2.77
Ag  0.0000  0.5000  0.7500 (multiplicity 2)  4 Ga 2.77

**Spin magnetization**: 0.000 μB/atom
**Energy of formation from the pure elements**: -0.448 eV/atom
**Crystal system**: tetragonal

No. 3
Ac2In3GaAg4 after structural relaxation, computed with PBE.

Cell: 4.7340 4.7340 11.2980 Å, 90.00 90.00 90.00°
With the nearest neighbours (Å) after each atom.
Space group P-4m2 (No. 115)
Inequivalent atoms, fractional coordinates:
Ac  0.0000  0.5000  0.2488 (multiplicity 2)  6 In 3.61-3.67, 8 Ag 3.62-3.70, 2 Ga 3.67
In  0.0000  0.0000  0.0000 (multiplicity 1)  4 Ag 2.77
In  0.0000  0.5000  0.6323 (multiplicity 2)  5 Ag 2.72-2.80
Ga  0.5000  0.5000  0.0000 (multiplicity 1)  4 Ag 2.77
Ag  0.0000  0.0000  0.5000 (multiplicity 1)  4 In 2.80
Ag  0.0000  0.5000  0.8731 (multiplicity 2)  3 In 2.72-2.77, 2 Ga 2.77
Ag  0.5000  0.5000  0.5000 (multiplicity 1)  4 In 2.80

**Spin magnetization**: 0.000 μB/atom
**Energy of formation from the pure elements**: -0.309 eV/atom
**Crystal system**: tetragonal

No. 4
AcInGa4Ag2 after structural relaxation, computed with PBE.

Cell: 4.6220 4.6220 29.4630 Å, 90.00 90.00 120.00°
With the nearest neighbours (Å) after each atom.
Space group R-3m (No. 166, hexagonal axes)
Inequivalent atoms, fractional coordinates:
Ac  0.0000  0.0000  0.0000 (multiplicity 3)  8 Ga 3.33-3.56, 6 Ag 3.54
In  0.0000  0.0000  0.5000 (multiplicity 3)  8 Ga 2.92-2.99
Ga  0.0000  0.0000  0.1208 (multiplicity 6)  3 Ag 2.94, 3 In 2.99, 3 Ga 3.10
Ga  0.0000  0.0000  0.4008 (multiplicity 6)  3 Ag 2.69, 1 In 2.92
Ag  0.0000  0.0000  0.2542 (multiplicity 6)  6 Ga 2.69-2.94

**Spin magnetization**: 0.000 μB/atom
**Energy of formation from the pure elements**: -0.177 eV/atom
**Crystal system**: trigonal

No. 5
Ac2In4GaAg3 after structural relaxation, computed with PBE.

Cell: 4.7404 4.7404 11.5160 Å, 90.00 90.00 90.00°
With the nearest neighbours (Å) after each atom.
Space group P-4m2 (No. 115)
Inequivalent atoms, fractional coordinates:
Ac  0.0000  0.5000  0.2414 (multiplicity 2)  8 In 3.59-3.81, 6 Ag 3.64-3.65, 2 Ga 3.65
In  0.0000  0.0000  0.5000 (multiplicity 1)  4 Ag 2.84
In  0.0000  0.5000  0.8709 (multiplicity 2)  3 Ag 2.71-2.80, 2 Ga 2.80
In  0.5000  0.5000  0.5000 (multiplicity 1)  4 Ag 2.84
Ga  0.5000  0.5000  0.0000 (multiplicity 1)  4 In 2.80
Ag  0.0000  0.0000  0.0000 (multiplicity 1)  4 In 2.80
Ag  0.0000  0.5000  0.6358 (multiplicity 2)  5 In 2.71-2.84

**Spin magnetization**: 0.000 μB/atom
**Energy of formation from the pure elements**: -0.350 eV/atom
**Crystal system**: tetragonal

No. 6
Ac2Ga4AgIr3 after structural relaxation, computed with PBE.

Cell: 4.4303 4.4303 10.5059 Å, 90.00 90.00 90.00°
With the nearest neighbours (Å) after each atom.
Space group P-4m2 (No. 115)
Inequivalent atoms, fractional coordinates:
Ac  0.0000  0.5000  0.2465 (multiplicity 2)  6 Ir 3.37-3.46, 8 Ga 3.39-3.41, 2 Ag 3.46
Ga  0.0000  0.0000  0.0000 (multiplicity 1)  4 Ir 2.59
Ga  0.0000  0.5000  0.6292 (multiplicity 2)  3 Ir 2.56-2.60, 2 Ag 2.60
Ga  0.5000  0.5000  0.0000 (multiplicity 1)  4 Ir 2.59
Ag  0.0000  0.0000  0.5000 (multiplicity 1)  4 Ga 2.60
Ir  0.0000  0.5000  0.8724 (multiplicity 2)  5 Ga 2.56-2.59
Ir  0.5000  0.5000  0.5000 (multiplicity 1)  4 Ga 2.60

**Spin magnetization**: 0.000 μB/atom
**Energy of formation from the pure elements**: -0.590 eV/atom
**Crystal system**: tetragonal

No. 7
AcLa2Ga2Ag2 after structural relaxation, computed with PBE.

Cell: 4.7608 4.7608 28.7896 Å, 90.00 90.00 120.00°
With the nearest neighbours (Å) after each atom.
Space group R-3m (No. 166, hexagonal axes)
Inequivalent atoms, fractional coordinates:
Ac  0.0000  0.0000  0.0000 (multiplicity 3)  6 Ag 3.44, 6 Ga 3.55, 2 La 3.73
La  0.0000  0.0000  0.1297 (multiplicity 6)  3 Ga 3.12, 3 Ag 3.22, 3 La 3.48
Ga  0.0000  0.0000  0.2552 (multiplicity 6)  3 Ag 2.75
Ag  0.0000  0.0000  0.4050 (multiplicity 6)  3 Ga 2.75

**Spin magnetization**: 0.000 μB/atom
**Energy of formation from the pure elements**: -0.406 eV/atom
**Crystal system**: trigonal

No. 8
LiAc2Ga3Ag4 after structural relaxation, computed with PBE.

Cell: 4.5824 4.5824 10.7910 Å, 90.00 90.00 90.00°
With the nearest neighbours (Å) after each atom.
Space group P-4m2 (No. 115)
Inequivalent atoms, fractional coordinates:
Li  0.0000  0.0000  0.0000 (multiplicity 1)  4 Ag 2.66
Ac  0.0000  0.5000  0.7453 (multiplicity 2)  6 Ga 3.46-3.58, 8 Ag 3.50-3.53, 2 Li 3.58
Ga  0.0000  0.5000  0.3672 (multiplicity 2)  5 Ag 2.62-2.70
Ga  0.5000  0.5000  0.0000 (multiplicity 1)  4 Ag 2.66
Ag  0.0000  0.0000  0.5000 (multiplicity 1)  4 Ga 2.70
Ag  0.0000  0.5000  0.1243 (multiplicity 2)  3 Ga 2.62-2.66, 2 Li 2.66
Ag  0.5000  0.5000  0.5000 (multiplicity 1)  4 Ga 2.70

**Spin magnetization**: 0.000 μB/atom
**Energy of formation from the pure elements**: -0.352 eV/atom
**Crystal system**: tetragonal